1.
{
  "formula": "CoAgSeO",
  "functional": "PBE+U",
  "state": "relaxed",
  "relative_energy_mev_per_atom": 125,
  "mass_density_g_cm3": 6.3,
  "space_group": "Pnma",
  "cell": [[-3.213, -0.029, -4.670], [-2.775, -1.560, 1.919], [-4.535, 11.810, 3.046]],
  "species": ["Ag", "Ag", "Ag", "Ag", "O", "O", "O", "O", "Co", "Co", "Co", "Co", "Se", "Se", "Se", "Se"],
  "fractional_positions": [[0.232, 0.250, 0.581], [0.768, 0.750, 0.419], [0.268, 0.750, 0.081], [0.732, 0.250, 0.919], [0.678, 0.750, 0.811], [0.178, 0.750, 0.689], [0.822, 0.250, 0.311], [0.322, 0.250, 0.189], [0.156, 0.250, 0.311], [0.844, 0.750, 0.689], [0.344, 0.750, 0.811], [0.656, 0.250, 0.189], [0.215, 0.250, 0.921], [0.285, 0.750, 0.421], [0.785, 0.750, 0.079], [0.715, 0.250, 0.579]]
}


2.
{
  "formula": "CoAgSeO",
  "functional": "PBE+U",
  "state": "relaxed",
  "relative_energy_mev_per_atom": 258,
  "mass_density_g_cm3": 6.4,
  "space_group": "P6_3mc",
  "cell": [[3.221, -1.860, 0.000], [3.221, 1.860, 0.000], [0.000, 0.000, 11.368]],
  "species": ["O", "O", "Co", "Co", "Ag", "Ag", "Se", "Se"],
  "fractional_positions": [[0.000, 0.000, 0.161], [0.000, 0.000, 0.661], [0.000, 0.000, 0.504], [0.000, 0.000, 0.004], [0.333, 0.333, 0.743], [0.667, 0.667, 0.243], [0.333, 0.333, 0.404], [0.667, 0.667, 0.904]]
}


3.
{
  "formula": "CoAgSeO",
  "functional": "PBE+U",
  "state": "relaxed",
  "relative_energy_mev_per_atom": 54,
  "mass_density_g_cm3": 6.7,
  "space_group": "Pbca",
  "cell": [[-4.808, -1.217, -2.633], [-1.603, -3.690, 4.632], [-6.701, 11.564, 6.892]],
  "species": ["Se", "Se", "Se", "Se", "Se", "Se", "Se", "Se", "Co", "Co", "Co", "Co", "Co", "Co", "Co", "Co", "Ag", "Ag", "Ag", "Ag", "Ag", "Ag", "Ag", "Ag", "O", "O", "O", "O", "O", "O", "O", "O"],
  "fractional_positions": [[0.510, 0.237, 0.319], [0.990, 0.737, 0.181], [0.010, 0.263, 0.319], [0.490, 0.263, 0.819], [0.510, 0.737, 0.681], [0.990, 0.237, 0.819], [0.010, 0.763, 0.681], [0.490, 0.763, 0.181], [0.562, 0.383, 0.473], [0.938, 0.883, 0.027], [0.438, 0.617, 0.027], [0.062, 0.117, 0.473], [0.938, 0.383, 0.973], [0.062, 0.617, 0.527], [0.562, 0.883, 0.527], [0.438, 0.117, 0.973], [0.778, 0.344, 0.661], [0.222, 0.156, 0.161], [0.778, 0.844, 0.339], [0.278, 0.656, 0.339], [0.722, 0.344, 0.161], [0.722, 0.844, 0.839], [0.278, 0.156, 0.661], [0.222, 0.656, 0.839], [0.750, 0.153, 0.030], [0.750, 0.653, 0.970], [0.249, 0.347, 0.530], [0.249, 0.847, 0.470], [0.750, 0.153, 0.530], [0.250, 0.347, 0.030], [0.250, 0.847, 0.970], [0.750, 0.653, 0.470]]
}